A geometry-optimized AgGe3Pb structure, computed with PBE.

offset from the most stable computed form = 0 meV/atom
energy of formation = 597 meV per atom
uncorrected energy = -3.485 eV per atom
density = 6.8 g cm⁻³

Cell: 5.0623 5.0623 5.0623 Å, 90.00 90.00 90.00°
Last column: nearest neighbours and their distance in Å.
Space group Pm-3m (No. 221)
One atom of each set of equivalent atoms:
Ag1 0.0000 0.0000 0.0000 [1 per cell]  6 Ge 2.53
Ge1 0.0000 0.0000 0.5000 [3 per cell]  2 Ag 2.53
Pb1 0.5000 0.5000 0.5000 [1 per cell]  12 Ge 3.58